No. 1
First-principles (GGA-PBE) data for a relaxed CuNiTe2N crystal, as listed in Alexandria via LeMat-Bulk.

a b c (Å): 5.280 5.280 3.453
angles (deg): 90.00 90.00 90.00
Space group P4/mmm (No. 123)
Symmetry-distinct sites (fractional):
1 Cu 0.000 0.000 0.000 x1
2 Ni 0.500 0.500 0.500 x1
3 Te 0.000 0.500 0.000 x2
4 N 0.000 0.000 0.500 x1

formation energy (no corrections) = 0.94 eV per atom

No. 2
First-principles (GGA-PBE) data for a relaxed CsSb3Te crystal, as listed in Alexandria via LeMat-Bulk.

a b c (Å): 6.125 6.125 6.125
angles (deg): 90.00 90.00 90.00
Space group Pm-3m (No. 221)
Symmetry-distinct sites (fractional):
1 Cs 0.000 0.000 0.000 x1
2 Sb 0.000 0.000 0.500 x3
3 Te 0.500 0.500 0.500 x1

formation energy (no corrections) = 1.60 eV per atom

No. 3
First-principles (GGA-PBE) data for a relaxed La2Pa2Pd15 crystal, as listed in Alexandria via LeMat-Bulk.

a b c (Å): 9.2919 9.2919 14.2491
angles (deg): 90.00 90.00 120.00
Space group R-3m (No. 166, hexagonal axes)
Symmetry-distinct sites (fractional):
1 La 0.0000 0.0000 0.1414 x6
2 Pa 0.0000 0.0000 0.3955 x6
3 Pd 0.0000 0.3057 0.5000 x18
4 Pd 0.0000 0.5000 0.0000 x9
5 Pd 0.0002 0.5001 0.3445 x18

energy of formation = -0.56 eV per atom

No. 4
First-principles (GGA-PBE) data for a relaxed CsMgSbPb crystal, as listed in Alexandria via LeMat-Bulk.

a b c (Å): 4.597 4.597 15.540
angles (deg): 90.00 90.00 90.00
Space group P4/nmm (No. 129, origin choice 2)
Symmetry-distinct sites (fractional):
1 Cs 0.250 0.250 0.248 x2
2 Mg 0.250 0.750 0.000 x2
3 Sb 0.250 0.250 0.885 x2
4 Pb 0.250 0.750 0.500 x2

formation energy (no corrections) = -0.31 eV per atom

No. 5
First-principles (GGA-PBE) data for a relaxed MgZnS2 crystal, as listed in Alexandria via LeMat-Bulk.

a b c (Å): 13.066 3.932 6.832
angles (deg): 90.00 99.92 90.00
Space group Cm (No. 8)
Symmetry-distinct sites (fractional):
1 Mg 0.000 0.000 0.000 x2
2 Mg 0.247 0.000 0.740 x2
3 Zn 0.252 0.500 0.247 x2
4 Zn 0.498 0.000 0.492 x2
5 S 0.056 0.000 0.673 x2
6 S 0.068 0.500 0.194 x2
7 S 0.309 0.500 0.938 x2
8 S 0.314 0.000 0.424 x2

formation energy (no corrections) = -1.10 eV per atom

No. 6
First-principles (GGA-PBE) data for a relaxed Ba3DyHg4 crystal, as listed in Alexandria via LeMat-Bulk.

a b c (Å): 4.022 4.022 16.659
angles (deg): 90.00 90.00 90.00
Space group P4/mmm (No. 123)
Symmetry-distinct sites (fractional):
1 Ba 0.000 0.000 0.000 x1
2 Ba 0.000 0.000 0.265 x2
3 Dy 0.000 0.000 0.500 x1
4 Hg 0.500 0.500 0.131 x2
5 Hg 0.500 0.500 0.403 x2

energy of formation = -0.48 eV per atom

No. 7
First-principles (GGA-PBE) data for a relaxed Mn2TcSe2 crystal, as listed in Alexandria via LeMat-Bulk.

a b c (Å): 6.951 6.951 3.285
angles (deg): 90.00 90.00 90.00
Space group P4/mbm (No. 127)
Symmetry-distinct sites (fractional):
1 Mn 0.134 0.366 0.000 x4
2 Tc 0.000 0.000 0.000 x2
3 Se 0.166 0.666 0.500 x4

formation energy (no corrections) = 0.33 eV per atom

No. 8
First-principles (GGA-PBE) data for a relaxed Be2Se crystal, as listed in Alexandria via LeMat-Bulk.

a b c (Å): 4.4512 4.4512 4.6005
angles (deg): 90.00 90.00 120.00
Space group P6_3/mmc (No. 194)
Symmetry-distinct sites (fractional):
1 Be 0.0000 0.0000 0.0000 x2
2 Be 0.3333 0.6667 0.2500 x2
3 Se 0.3333 0.6667 0.7500 x2

formation energy (no corrections) = 0.52 eV per atom

No. 9
First-principles (GGA-PBE) data for a relaxed Y2Hf4O crystal, as listed in Alexandria via LeMat-Bulk.

a b c (Å): 4.489 4.489 16.396
angles (deg): 90.00 90.00 90.00
Space group I4/mmm (No. 139)
Symmetry-distinct sites (fractional):
1 Y 0.000 0.000 0.156 x4
2 Hf 0.000 0.000 0.369 x4
3 Hf 0.000 0.500 0.000 x4
4 O 0.000 0.000 0.500 x2

formation energy (no corrections) = -0.50 eV per atom

No. 10
First-principles (GGA-PBE) data for a relaxed LaYHg2 crystal, as listed in Alexandria via LeMat-Bulk.

a b c (Å): 3.9169 3.9169 27.4742
angles (deg): 90.00 90.00 120.00
Space group R3m (No. 160, hexagonal axes)
Symmetry-distinct sites (fractional):
1 La 0.0000 0.0000 0.0000 x3
2 Y 0.0000 0.0000 0.8330 x3
3 Hg 0.0000 0.0000 0.4207 x3
4 Hg 0.0000 0.0000 0.5788 x3

energy of formation = -0.33 eV per atom

No. 11
First-principles (GGA-PBE) data for a relaxed Mn2MoPt crystal, as listed in Alexandria via LeMat-Bulk.

a b c (Å): 2.7209 2.7209 26.3918
angles (deg): 90.00 90.00 120.00
Space group R3m (No. 160, hexagonal axes)
Symmetry-distinct sites (fractional):
1 Mn 0.0000 0.0000 0.0000 x3
2 Mn 0.0000 0.0000 0.2604 x3
3 Mo 0.0000 0.0000 0.7526 x3
4 Pt 0.0000 0.0000 0.5092 x3

energy of formation = 0.07 eV per atom

No. 12
First-principles (GGA-PBE) data for a relaxed Dy2Y2ErMg crystal, as listed in Alexandria via LeMat-Bulk.

a b c (Å): 10.315 11.660 3.612
angles (deg): 90.00 90.00 90.00
Space group Pnnm (No. 58)
Symmetry-distinct sites (fractional):
1 Dy 0.088 0.224 0.000 x4
2 Y 0.249 0.428 0.500 x4
3 Er 0.000 0.000 0.500 x2
4 Mg 0.000 0.500 0.000 x2

energy of formation = 0.48 eV per atom

No. 13
First-principles (GGA-PBE) data for a relaxed SrBi4 crystal, as listed in Alexandria via LeMat-Bulk.

a b c (Å): 6.053 6.053 6.053
angles (deg): 90.00 90.00 90.00
Space group Pm-3m (No. 221)
Symmetry-distinct sites (fractional):
1 Sr 0.000 0.000 0.000 x1
2 Bi 0.000 0.000 0.500 x3
3 Bi 0.500 0.500 0.500 x1

energy of formation = 0.76 eV per atom

No. 14
First-principles (GGA-PBE) data for a relaxed AcSn2GeRu2 crystal, as listed in Alexandria via LeMat-Bulk.

a b c (Å): 4.719 4.719 6.177
angles (deg): 90.00 90.00 90.00
Space group P4/mmm (No. 123)
Symmetry-distinct sites (fractional):
1 Ac 0.000 0.000 0.000 x1
2 Sn 0.500 0.500 0.243 x2
3 Ge 0.000 0.000 0.500 x1
4 Ru 0.000 0.500 0.500 x2

energy of formation = -0.24 eV per atom

No. 15
First-principles (GGA-PBE) data for a relaxed CaTaAg crystal, as listed in Alexandria via LeMat-Bulk.

a b c (Å): 3.065 5.287 8.729
angles (deg): 72.45 86.71 79.21
Space group P-1 (No. 2)
Symmetry-distinct sites (fractional):
1 Ca 0.001 0.182 0.137 x2
2 Ta 0.214 0.222 0.500 x2
3 Ag 0.498 0.634 0.233 x2

energy of formation = 0.25 eV per atom

No. 16
First-principles (GGA-PBE) data for a relaxed NdScGa2Pd2 crystal, as listed in Alexandria via LeMat-Bulk.

a b c (Å): 4.4785 4.4785 6.8062
angles (deg): 90.00 90.00 120.00
Space group P-3m1 (No. 164)
Symmetry-distinct sites (fractional):
1 Nd 0.0000 0.0000 0.0000 x1
2 Sc 0.0000 0.0000 0.5000 x1
3 Ga 0.3333 0.6667 0.2905 x2
4 Pd 0.3333 0.6667 0.7078 x2

energy of formation = -0.85 eV per atom

No. 17
First-principles (GGA-PBE) data for a relaxed Hf6CN2 crystal, as listed in Alexandria via LeMat-Bulk.

a b c (Å): 10.537 4.221 7.253
angles (deg): 90.00 113.68 90.00
Space group C2/m (No. 12)
Symmetry-distinct sites (fractional):
1 Hf 0.015 0.000 0.215 x4
2 Hf 0.153 0.500 0.584 x4
3 Hf 0.182 0.500 0.076 x4
4 C 0.000 0.000 0.500 x2
5 N 0.176 0.000 0.086 x4

formation energy (no corrections) = -0.75 eV per atom

No. 18
First-principles (GGA-PBE) data for a relaxed HfCuRuCl2 crystal, as listed in Alexandria via LeMat-Bulk.

a b c (Å): 4.545 4.545 4.909
angles (deg): 90.00 90.00 90.00
Space group P4/mmm (No. 123)
Symmetry-distinct sites (fractional):
1 Hf 0.000 0.000 0.000 x1
2 Cu 0.500 0.500 0.000 x1
3 Ru 0.500 0.500 0.500 x1
4 Cl 0.000 0.500 0.500 x2

formation energy (no corrections) = 0.77 eV per atom

No. 19
First-principles (GGA-PBE) data for a relaxed RuAuCl2 crystal, as listed in Alexandria via LeMat-Bulk.

a b c (Å): 4.545 2.994 7.214
angles (deg): 90.00 108.24 90.00
Space group Pm (No. 6)
Symmetry-distinct sites (fractional):
1 Ru 0.000 0.000 0.000 x1
2 Au 0.465 0.500 0.930 x1
3 Cl 0.130 0.500 0.261 x1
4 Cl 0.834 0.000 0.666 x1

formation energy (no corrections) = 0.06 eV per atom

No. 20
First-principles (GGA-PBE) data for a relaxed Cd2Pd2PtO6 crystal, as listed in Alexandria via LeMat-Bulk.

a b c (Å): 6.227 9.142 5.851
angles (deg): 90.00 114.08 90.00
Space group C2/m (No. 12)
Symmetry-distinct sites (fractional):
1 Cd 0.000 0.192 0.000 x4
2 Pd 0.000 0.340 0.500 x4
3 Pt 0.000 0.000 0.500 x2
4 O 0.175 0.171 0.734 x8
5 O 0.237 0.000 0.319 x4

formation energy (no corrections) = -0.51 eV per atom

No. 21
First-principles (GGA-PBE) data for a relaxed CsNaWS4 crystal, as listed in Alexandria via LeMat-Bulk.

a b c (Å): 6.765 7.173 9.578
angles (deg): 90.00 107.89 90.00
Space group P2_1/m (No. 11)
Symmetry-distinct sites (fractional):
1 Cs 0.220 0.250 0.427 x2
2 Na 0.272 0.250 0.955 x2
3 W 0.291 0.750 0.175 x2
4 S 0.097 0.750 0.945 x2
5 S 0.098 0.750 0.325 x2
6 S 0.497 0.503 0.216 x4

formation energy (no corrections) = -0.94 eV per atom

No. 22
First-principles (GGA-PBE) data for a relaxed TaIn2Sb crystal, as listed in Alexandria via LeMat-Bulk.

a b c (Å): 3.791 3.791 6.246
angles (deg): 90.00 90.00 90.00
Space group P4mm (No. 99)
Symmetry-distinct sites (fractional):
1 Ta 0.000 0.000 0.000 x1
2 In 0.000 0.000 0.502 x1
3 In 0.500 0.500 0.257 x1
4 Sb 0.500 0.500 0.790 x1

formation energy (no corrections) = 0.23 eV per atom

No. 23
First-principles (GGA-PBE) data for a relaxed Pr3NdDy6Er2 crystal, as listed in Alexandria via LeMat-Bulk.

a b c (Å): 6.226 10.779 11.871
angles (deg): 90.00 100.03 90.00
Space group C2/m (No. 12)
Symmetry-distinct sites (fractional):
1 Pr 0.000 0.000 0.000 x2
2 Pr 0.000 0.333 0.000 x4
3 Nd 0.000 0.500 0.500 x2
4 Dy 0.248 0.000 0.746 x4
5 Dy 0.249 0.333 0.746 x8
6 Er 0.000 0.167 0.500 x4

energy of formation = 0.02 eV per atom

No. 24
First-principles (GGA-PBE) data for a relaxed CuPO crystal, as listed in Alexandria via LeMat-Bulk.

a b c (Å): 2.554 4.136 4.511
angles (deg): 110.78 90.54 107.11
Space group P1 (No. 1)
Symmetry-distinct sites (fractional):
1 Cu 0.000 0.000 0.000 x1
2 P 0.703 0.386 0.803 x1
3 O 0.137 0.255 0.519 x1

formation energy (no corrections) = -0.49 eV per atom

No. 25
First-principles (GGA-PBE) data for a relaxed NaLi2La crystal, as listed in Alexandria via LeMat-Bulk.

a b c (Å): 8.391 8.391 6.769
angles (deg): 90.00 90.00 90.00
Space group I-42d (No. 122)
Symmetry-distinct sites (fractional):
1 Na 0.000 0.000 0.000 x4
2 Li 0.214 0.750 0.125 x8
3 La 0.000 0.000 0.500 x4

energy of formation = 0.34 eV per atom

Number 1: raw total energy -19.767 eV for the cell shown, size of the total moment 0.96 μB/f.u.. Number 2: raw total energy -8.360 eV for the cell shown, size of the total moment 0.00 μB/f.u.. Number 3: raw total energy -352.234 eV for the cell shown, size of the total moment 0.42 μB/f.u.. Number 4: raw total energy -23.056 eV for the cell shown, size of the total moment 0.00 μB/f.u.. Number 5: raw total energy -62.151 eV for the cell shown, size of the total moment 0.00 μB/f.u.. Number 6: raw total energy -15.454 eV for the cell shown, size of the total moment 0.00 μB/f.u.. Number 7: raw total energy -68.048 eV for the cell shown, size of the total moment 4.34 μB/f.u.. Number 8: raw total energy -18.764 eV for the cell shown, size of the total moment 0.00 μB/f.u.. Number 9: raw total energy -122.392 eV for the cell shown, size of the total moment 0.00 μB/f.u.. Number 10: raw total energy -39.962 eV for the cell shown, size of the total moment 0.00 μB/f.u.. Number 11: raw total energy -104.852 eV for the cell shown, size of the total moment 0.56 μB/f.u.. Number 12: raw total energy -50.857 eV for the cell shown, size of the total moment 0.00 μB/f.u.. Number 13: raw total energy -13.383 eV for the cell shown, size of the total moment 0.00 μB/f.u.. Number 14: raw total energy -36.752 eV for the cell shown, size of the total moment 1.50 μB/f.u.. Number 15: raw total energy -31.912 eV for the cell shown, size of the total moment 0.00 μB/f.u.. Number 16: raw total energy -32.613 eV for the cell shown, size of the total moment 0.00 μB/f.u.. Number 17: raw total energy -184.695 eV for the cell shown, size of the total moment 0.00 μB/f.u.. Number 18: raw total energy -23.163 eV for the cell shown, size of the total moment 0.01 μB/f.u.. Number 19: raw total energy -15.987 eV for the cell shown, size of the total moment 0.00 μB/f.u.. Number 20: raw total energy -107.174 eV for the cell shown, size of the total moment 0.00 μB/f.u.. Number 21: raw total energy -76.444 eV for the cell shown, size of the total moment 0.00 μB/f.u.. Number 22: raw total energy -20.527 eV for the cell shown, size of the total moment 0.00 μB/f.u.. Number 23: raw total energy -111.242 eV for the cell shown, size of the total moment 0.00 μB/f.u.. Number 24: raw total energy -15.924 eV for the cell shown, size of the total moment 0.00 μB/f.u.. Number 25: raw total energy -34.824 eV for the cell shown, size of the total moment 0.59 μB/f.u..